Entry from Alexandria: a geometry-optimized BPt3Au structure (GGA-PBE).

VASP energy	-56.977	eV for the cell shown
space-group type	R-3, No. 148
DOS at the Fermi energy	0.39	states/eV/atom
DFT formation energy	-0.0822	eV/atom

Geometry as extended XYZ:
```
10
Lattice="2.8325 0.0000 7.5915 -1.4163 2.4530 7.5915 -1.4163 -2.4530 7.5915" Properties=species:S:1:pos:R:3 pbc="T T T"
Au 0.0000 0.0000 15.1683
Au 0.0000 0.0000 7.6061
Pt -1.4148 0.8138 9.9662
Pt 1.4122 0.8184 9.9662
Pt -0.0026 1.6321 12.8082
Pt -1.4122 -0.8184 12.8082
Pt 1.4148 -0.8138 12.8082
Pt 0.0026 -1.6321 9.9662
B 0.0000 0.0000 3.7896
B 0.0000 0.0000 18.9848
```


Entry from Alexandria: a geometry-optimized BPt3Au structure (GGA-PBE).

VASP energy	-28.015	eV for the cell shown
space-group type	Amm2, No. 38
DOS at the Fermi energy	0.45	states/eV/atom
DFT formation energy	0.0125	eV/atom

Geometry as extended XYZ:
```
5
Lattice="2.7597 0.0000 0.0000 0.0000 3.5694 -4.0592 0.0000 3.5694 4.0592" Properties=species:S:1:pos:R:3 pbc="T T T"
B 1.3798 3.5694 3.6281
Pt 0.0000 3.5694 2.0632
Pt 1.3798 5.7729 1.0757
Pt 1.3798 1.3659 1.0757
Au 0.0000 3.5694 -0.7638
```


Entry from Alexandria: a geometry-optimized BPt3Au structure (GGA-PBE).

VASP energy	-57.171	eV for the cell shown
space-group type	P6_3/mmc, No. 194
DOS at the Fermi energy	0.21	states/eV/atom
DFT formation energy	-0.1016	eV/atom

Geometry as extended XYZ:
```
10
Lattice="5.3406 0.0001 -0.0001 -0.0002 5.6968 0.0002 0.0003 -2.8485 4.9334" Properties=species:S:1:pos:R:3 pbc="T T T"
Pt 4.0058 -1.3916 4.0924
Pt 4.0056 1.3917 4.0925
Pt 1.3351 1.4567 0.8410
Pt 1.3350 4.2399 0.8410
Pt 1.3352 2.8483 3.2514
Pt 4.0055 0.0002 1.6821
Au 1.3355 -0.0002 3.2888
Au 4.0053 2.8486 1.6446
B 5.3406 0.0001 -0.0001
B 2.6703 0.0000 0.0000
```